Entry 1:
Here is a relaxed structure of TbZrCuPd from the Alexandria database. Energies are from PBE.

Values from the calculation:
E_form, eV per atom: -0.37
Electronic total energy, eV for the cell shown: -95.9

The structure in CIF format:
```
data_TbZrCuPd
_cell_length_a 6.830
_cell_length_b 6.830
_cell_length_c 6.830
_cell_angle_alpha 90.00
_cell_angle_beta 90.00
_cell_angle_gamma 90.00
_space_group_name_H-M_alt 'F -4 3 m'
_space_group_IT_number 216
_space_group_name_Hall 'F -4 2 3'
loop_
_atom_site_label
_atom_site_type_symbol
_atom_site_fract_x
_atom_site_fract_y
_atom_site_fract_z
Tb1 Tb 0.000 0.000 0.000
Zr1 Zr 0.000 0.000 0.500
Cu1 Cu 0.250 0.250 0.750
Pd1 Pd 0.250 0.250 0.250
```

=====

Entry 2:
Here is a relaxed structure of Cd2IrCl from the Alexandria database. Energies are from PBE.

Values from the calculation:
Uncorrected formation energy, eV/f.u.: 0.4
Electronic total energy, eV for the cell shown: -24.3

The structure in CIF format:
```
data_Cd2IrCl
_cell_length_a 3.083
_cell_length_b 4.604
_cell_length_c 12.317
_cell_angle_alpha 90.00
_cell_angle_beta 90.00
_cell_angle_gamma 90.00
_space_group_name_H-M_alt 'I m m 2'
_space_group_IT_number 44
_space_group_name_Hall 'I 2 -2'
loop_
_atom_site_label
_atom_site_type_symbol
_atom_site_fract_x
_atom_site_fract_y
_atom_site_fract_z
Cd1 Cd 0.000 0.000 0.000
Cd2 Cd 0.000 0.500 0.172
Ir1 Ir 0.000 0.000 0.488
Cl1 Cl 0.000 0.500 0.807
```

=====

Entry 3:
Here is a relaxed structure of Li4Cd5Pb from the Alexandria database. Energies are from PBE.

Values from the calculation:
E_form, eV per atom: -0.19
Electronic total energy, eV for the cell shown: -17.9

The structure in CIF format:
```
data_Li4Cd5Pb
_cell_length_a 3.423
_cell_length_b 3.423
_cell_length_c 17.342
_cell_angle_alpha 90.00
_cell_angle_beta 90.00
_cell_angle_gamma 90.00
_space_group_name_H-M_alt 'P 4/m m m'
_space_group_IT_number 123
_space_group_name_Hall '-P 4 2'
loop_
_atom_site_label
_atom_site_type_symbol
_atom_site_fract_x
_atom_site_fract_y
_atom_site_fract_z
Li1 Li 0.000 0.000 0.092
Li2 Li 0.000 0.000 0.274
Cd1 Cd 0.500 0.500 0.000
Cd2 Cd 0.500 0.500 0.184
Cd3 Cd 0.500 0.500 0.365
Pb1 Pb 0.000 0.000 0.500
```